Record 1
Material: TlTcSb
Method: DFT, GGA-PBE
State: relaxed

Unit cell a=3.3476 b=3.3476 c=6.9060 alpha=90.00 beta=90.00 gamma=120.00
Element x y z (fractional)
Tl  0.0000  0.0000  0.0000
Tc  0.3333  0.6667  0.6819
Sb  0.6667  0.3333  0.4182

Uncorrected formation energy (meV/atom): 306
Space group: P3m1
Distance to the lowest polymorph of the same formula (meV per atom): 53

=====

Record 2
Material: LiTlOs3
Method: DFT, GGA-PBE
State: relaxed

Unit cell a=5.0446 b=5.0446 c=5.0446 alpha=90.00 beta=90.00 gamma=90.00
Element x y z (fractional)
Li  0.0000  0.0000  0.0000
Tl  0.5000  0.5000  0.5000
Os  0.0000  0.5000  0.5000
Os  0.5000  0.0000  0.5000
Os  0.5000  0.5000  0.0000

ΔH_f (0 K) (eV per atom): 2.997
Space group: Pm-3m
Distance to the lowest polymorph of the same formula (meV per atom): 1384

=====

Record 3
Material: Cs2PbI2Cl2
Method: DFT, GGA-PBE
State: relaxed

Unit cell a=5.7502 b=5.7502 c=19.4770 alpha=90.00 beta=90.00 gamma=90.00
Element x y z (fractional)
Cs  0.0000  0.0000  0.1318
Cs  0.0000  0.0000  0.8682
Cs  0.5000  0.5000  0.3682
Cs  0.5000  0.5000  0.6318
Pb  0.0000  0.0000  0.5000
Pb  0.5000  0.5000  0.0000
I  0.0000  0.0000  0.3337
I  0.0000  0.0000  0.6663
I  0.5000  0.5000  0.1663
I  0.5000  0.5000  0.8337
Cl  0.0000  0.5000  0.0000
Cl  0.0000  0.5000  0.5000
Cl  0.5000  0.0000  0.0000
Cl  0.5000  0.0000  0.5000

Uncorrected formation energy (meV/atom): -1434
Space group: I4/mmm

=====

Record 4
Material: CaTiPt2
Method: DFT, GGA-PBE
State: relaxed

Unit cell a=3.2133 b=3.2133 c=7.2498 alpha=90.00 beta=90.00 gamma=90.00
Element x y z (fractional)
Ca  0.0000  0.0000  0.0000
Ti  0.0000  0.0000  0.5000
Pt  0.5000  0.5000  0.3008
Pt  0.5000  0.5000  0.6992

ΔH_f (0 K) (eV per atom): -0.902
Space group: P4/mmm
Distance to the lowest polymorph of the same formula (meV per atom): 0

=====

Record 5
Material: Rb2CoSe
Method: DFT, GGA-PBE
State: relaxed

Unit cell a=10.5216 b=10.5216 c=4.5708 alpha=90.00 beta=90.00 gamma=90.00
Element x y z (fractional)
Rb  0.1390  0.7500  0.1250
Rb  0.2500  0.1390  0.8750
Rb  0.2500  0.3610  0.3750
Rb  0.3610  0.7500  0.6250
Rb  0.6390  0.2500  0.6250
Rb  0.7500  0.6390  0.3750
Rb  0.7500  0.8610  0.8750
Rb  0.8610  0.2500  0.1250
Co  0.0000  0.0000  0.5000
Co  0.0000  0.5000  0.7500
Co  0.5000  0.0000  0.2500
Co  0.5000  0.5000  0.0000
Se  0.0000  0.0000  0.0000
Se  0.0000  0.5000  0.2500
Se  0.5000  0.0000  0.7500
Se  0.5000  0.5000  0.5000

Uncorrected formation energy (meV/atom): 82
Space group: I-42d

=====

Record 6
Material: MnBeTe2
Method: DFT, GGA-PBE
State: relaxed

Unit cell a=3.4337 b=3.4337 c=6.7320 alpha=90.00 beta=90.00 gamma=90.00
Element x y z (fractional)
Mn  0.0000  0.0000  0.0000
Be  0.0000  0.0000  0.5000
Te  0.5000  0.5000  0.2488
Te  0.5000  0.5000  0.7512

Uncorrected formation energy (meV/atom): 510
Space group: P4/mmm